## Fe3ReO (GGA+U)

Data for Fe3ReO after structural relaxation.

- energy above the lowest structure with this stoichiometry (meV/atom) = 0
- magnetic moment (μB per atom) = 2.41
- crystal system = cubic

Cell and atoms, written as CIF:
```
data_Fe3ReO
_chemical_formula_sum 'Fe3 Re1 O1'
_cell_length_a 4.108
_cell_length_b 4.108
_cell_length_c 4.108
_cell_angle_alpha 90.00
_cell_angle_beta 90.00
_cell_angle_gamma 90.00
_space_group_name_H-M_alt 'P m -3 m'
_space_group_IT_number 221
_space_group_name_Hall '-P 4 2 3'
loop_
_atom_site_label
_atom_site_type_symbol
_atom_site_fract_x
_atom_site_fract_y
_atom_site_fract_z
_atom_site_occupancy
Fe1 Fe 0.000 0.000 0.500 1
Re1 Re 0.500 0.500 0.500 1
O1 O 0.000 0.000 0.000 1
```